This record from Alexandria via LeMat-Bulk describes a relaxed Li2ZrBi2 crystal. The functional is PBE.

Output
- distance to the lowest polymorph of the same formula (meV per atom) = 6
- energy of formation (eV/atom) = -0.2523
- DFT total energy (hartree per atom) = -0.1573

Lattice parameters (Å, degrees): 8.275 8.275 3.348 90.00 90.00 90.00
Atoms (fractional coordinates):
Bi1 0.329 0.829 0.000
Bi2 0.829 0.671 0.000
Bi3 0.671 0.171 0.000
Bi4 0.171 0.329 0.000
Zr1 0.000 0.000 0.000
Zr2 0.500 0.500 0.000
Li1 0.128 0.628 0.500
Li2 0.628 0.872 0.500
Li3 0.872 0.372 0.500
Li4 0.372 0.128 0.500